Record 1
Here is a relaxed structure of Hf2Cd2Pb from Alexandria. Energies are from PBE-GGA.

Unit cell a=8.3660 b=8.3660 c=3.3551 alpha=90.00 beta=90.00 gamma=90.00
Last column: nearest neighbours and their distance in Å.
Fractional coordinates of all 10 atoms:
Hf (0.1745, 0.3255, 0.0000)  6 Cd 2.93-3.03
Hf (0.3255, 0.8255, 0.0000)  6 Cd 2.93-3.03
Hf (0.6745, 0.1745, 0.0000)  6 Cd 2.93-3.03
Hf (0.8255, 0.6745, 0.0000)  6 Cd 2.93-3.03
Cd (0.1226, 0.6226, 0.5000)  1 Cd 2.90, 6 Hf 2.93-3.03
Cd (0.3774, 0.1226, 0.5000)  1 Cd 2.90, 6 Hf 2.93-3.03
Cd (0.6226, 0.8774, 0.5000)  1 Cd 2.90, 6 Hf 2.93-3.03
Cd (0.8774, 0.3774, 0.5000)  1 Cd 2.90, 6 Hf 2.93-3.03
Pb (0.0000, 0.0000, 0.5000)  4 Cd 3.32, 2 Pb 3.36, 8 Hf 3.52
Pb (0.5000, 0.5000, 0.5000)  4 Cd 3.32, 2 Pb 3.36, 8 Hf 3.52

Density of states at the Fermi level: 7.3 states/eV/cell
Space-group type: P4/mbm, No. 127
Excess energy over the best structure of this formula in the dataset: 0.016 eV/atom
Energy of formation: 265 meV per atom
Volume: 23.48 Å³ per atom

---

Record 2
Here is a relaxed structure of LiIn2Hg from Alexandria. Energies are from PBE-GGA.

Unit cell a=6.5480 b=6.5480 c=6.5480 alpha=102.00 beta=102.00 gamma=125.73
Last column: nearest neighbours and their distance in Å.
Fractional coordinates of all 8 atoms:
Li (0.0000, 0.0000, 0.0000)  2 Hg 2.99, 4 In 3.02
Li (0.7500, 0.2500, 0.5000)  2 Hg 2.99, 4 In 3.02
In (0.1277, 0.1250, 0.5027)  2 In 2.99, 2 Hg 2.99, 2 Li 3.02
In (0.3750, 0.8723, 0.9973)  2 In 2.99, 2 Hg 2.99, 2 Li 3.02
In (0.6223, 0.6250, 0.4973)  2 In 2.99, 2 Hg 2.99, 2 Li 3.02
In (0.8750, 0.3777, 0.0027)  2 In 2.99, 2 Hg 2.99, 2 Li 3.02
Hg (0.2500, 0.7500, 0.5000)  2 Li 2.99, 4 In 2.99
Hg (0.5000, 0.5000, 0.0000)  2 Li 2.99, 4 In 2.99

Density of states at the Fermi level: 3.8 states/eV/cell
Space-group type: I-42d, No. 122
Energy of formation: -26 meV per atom
Volume: 25.35 Å³ per atom

---

Record 3
Here is a relaxed structure of Pr2Dy2Y4Tm from Alexandria. Energies are from PBE-GGA.

Unit cell a=9.5567 b=9.5567 c=9.6142 alpha=115.16 beta=115.16 gamma=21.85
Last column: nearest neighbours and their distance in Å.
Fractional coordinates of all 9 atoms:
Pr (0.1646, 0.1646, 0.4969)  3 Y 3.55-3.59, 3 Dy 3.58-3.63, 2 Tm 3.59, 4 Pr 3.62-3.66
Pr (0.8354, 0.8354, 0.5031)  3 Y 3.55-3.59, 3 Dy 3.58-3.63, 2 Tm 3.59, 4 Pr 3.62-3.66
Dy (0.3527, 0.3527, 0.8372)  7 Y 3.52-3.63, 3 Pr 3.58-3.63, 2 Dy 3.62
Dy (0.6473, 0.6473, 0.1628)  7 Y 3.52-3.63, 3 Pr 3.58-3.63, 2 Dy 3.62
Y (0.0195, 0.0195, 0.8349)  4 Dy 3.52-3.63, 1 Pr 3.55, 5 Y 3.55-3.62, 2 Tm 3.57
Y (0.3145, 0.3145, 0.1650)  3 Dy 3.52-3.61, 6 Y 3.54-3.62, 1 Tm 3.58, 2 Pr 3.59
Y (0.6855, 0.6855, 0.8350)  3 Dy 3.52-3.61, 6 Y 3.54-3.62, 1 Tm 3.58, 2 Pr 3.59
Y (0.9805, 0.9805, 0.1651)  4 Dy 3.52-3.63, 1 Pr 3.55, 5 Y 3.55-3.62, 2 Tm 3.57
Tm (0.5000, 0.5000, 0.5000)  6 Y 3.57-3.58, 4 Pr 3.59, 2 Tm 3.62

Density of states at the Fermi level: 12.8 states/eV/cell
Space-group type: C2/m, No. 12
Energy of formation: -1 meV per atom
Volume: 32.72 Å³ per atom

---

Record 4
Here is a relaxed structure of PmTmCd from Alexandria. Energies are from PBE-GGA.

Unit cell a=5.1738 b=5.1738 c=5.1738 alpha=119.96 beta=119.96 gamma=90.08
Last column: nearest neighbours and their distance in Å.
Fractional coordinates of all 3 atoms:
Pm (0.0000, 0.0000, 0.0000)  4 Cd 3.17
Tm (0.5000, 0.5000, 0.0000)  4 Cd 3.17
Cd (0.2500, 0.7500, 0.5000)  4 Tm 3.17, 4 Pm 3.17

Density of states at the Fermi level: 4.5 states/eV/cell
Space-group type: I-4m2, No. 119
Excess energy over the best structure of this formula in the dataset: 0.286 eV/atom
Energy of formation: 95 meV per atom
Volume: 32.67 Å³ per atom

---

Record 5
Here is a relaxed structure of Sn4GeAu2 from Alexandria. Energies are from PBE-GGA.

Unit cell a=7.5928 b=7.5816 c=8.7582 alpha=54.81 beta=54.69 gamma=70.50
Last column: nearest neighbours and their distance in Å.
Fractional coordinates of all 14 atoms:
Sn (0.0301, 0.1796, 0.0685)  4 Au 2.94-3.14, 2 Ge 2.97-3.12
Sn (0.1796, 0.0301, 0.7218)  4 Au 2.94-3.14, 2 Ge 2.97-3.12
Sn (0.1815, 0.5282, 0.2199)  4 Au 2.94-3.14, 2 Ge 2.97-3.12
Sn (0.3273, 0.6727, 0.4245)  4 Au 2.94-3.12, 2 Ge 2.98-3.13
Sn (0.5282, 0.1815, 0.0704)  4 Au 2.94-3.14, 2 Ge 2.97-3.12
Sn (0.6727, 0.3273, 0.5755)  4 Au 2.94-3.12, 2 Ge 2.98-3.13
Sn (0.6745, 0.8255, 0.5773)  4 Au 2.94-3.12, 2 Ge 2.98-3.13
Sn (0.8255, 0.6745, 0.9227)  4 Au 2.94-3.12, 2 Ge 2.98-3.13
Ge (0.0531, 0.0531, 0.4469)  8 Sn 2.97-3.13
Ge (0.8031, 0.8031, 0.1969)  8 Sn 2.97-3.13
Au (0.2972, 0.5581, 0.8220)  8 Sn 2.94-3.14
Au (0.4280, 0.9274, 0.9528)  8 Sn 2.94-3.14
Au (0.5581, 0.2972, 0.3226)  8 Sn 2.94-3.14
Au (0.9274, 0.4280, 0.6919)  8 Sn 2.94-3.14

Density of states at the Fermi level: 6.6 states/eV/cell
Space-group type: Fdd2, No. 43
Energy of formation: -11 meV per atom
Volume: 24.02 Å³ per atom

---

Record 6
Here is a relaxed structure of Pr8SmCd2 from Alexandria. Energies are from PBE-GGA.

Unit cell a=8.9768 b=8.9768 c=5.3654 alpha=98.51 beta=98.51 gamma=76.96
Last column: nearest neighbours and their distance in Å.
Fractional coordinates of all 11 atoms:
Pr (0.0857, 0.0857, 0.2920)  10 Pr 3.57-3.87
Pr (0.1321, 0.6569, 0.2205)  1 Cd 3.20, 1 Pr 3.40
Pr (0.2593, 0.2593, 0.8740)  2 Cd 3.09-3.23, 1 Sm 3.32, 2 Pr 3.40
Pr (0.3431, 0.8679, 0.7795)  1 Cd 3.20, 1 Pr 3.40
Pr (0.6569, 0.1321, 0.2205)  1 Cd 3.20, 1 Pr 3.40
Pr (0.7407, 0.7407, 0.1260)  2 Cd 3.09-3.23, 1 Sm 3.32, 2 Pr 3.40
Pr (0.8679, 0.3431, 0.7795)  1 Cd 3.20, 1 Pr 3.40
Pr (0.9143, 0.9143, 0.7080)  10 Pr 3.57-3.87
Sm (0.5000, 0.5000, 0.0000)  4 Cd 3.11-3.19, 2 Pr 3.32
Cd (0.3800, 0.3800, 0.4494)  4 Pr 3.09-3.23, 2 Sm 3.11-3.19, 1 Cd 3.31
Cd (0.6200, 0.6200, 0.5506)  4 Pr 3.09-3.23, 2 Sm 3.11-3.19, 1 Cd 3.31

Density of states at the Fermi level: 16.2 states/eV/cell
Space-group type: C2/m, No. 12
Excess energy over the best structure of this formula in the dataset: 0.336 eV/atom
Energy of formation: 262 meV per atom
Volume: 37.60 Å³ per atom

---

Record 7
Here is a relaxed structure of La2AlCuAu6 from Alexandria. Energies are from PBE-GGA.

Unit cell a=5.5757 b=6.8293 c=7.0948 alpha=83.63 beta=66.92 gamma=65.96
Last column: nearest neighbours and their distance in Å.
Fractional coordinates of all 10 atoms:
La (0.0314, 0.2284, 0.2068)  7 Au 3.18-3.43, 1 Cu 3.56
La (0.9686, 0.7716, 0.7932)  7 Au 3.18-3.43, 1 Cu 3.56
Al (0.5000, 0.0000, 0.5000)  6 Au 2.57-2.62
Cu (0.5000, 0.5000, 0.0000)  6 Au 2.63-2.65
Au (0.0036, 0.2289, 0.7609)  1 Al 2.57, 1 Cu 2.63, 2 Au 2.77-2.80
Au (0.3569, 0.3961, 0.3887)  1 Al 2.62, 1 Cu 2.65
Au (0.4940, 0.7705, 0.2393)  1 Al 2.57, 1 Cu 2.63, 2 Au 2.77-2.80
Au (0.5060, 0.2295, 0.7607)  1 Al 2.57, 1 Cu 2.63, 2 Au 2.77-2.80
Au (0.6431, 0.6039, 0.6113)  1 Al 2.62, 1 Cu 2.65
Au (0.9964, 0.7711, 0.2391)  1 Al 2.57, 1 Cu 2.63, 2 Au 2.77-2.80

Density of states at the Fermi level: 5.5 states/eV/cell
Space-group type: P-1, No. 2
Energy of formation: -506 meV per atom
Volume: 22.66 Å³ per atom

---

Record 8
Here is a relaxed structure of CoTcBi3 from Alexandria. Energies are from PBE-GGA.

Unit cell a=5.0596 b=5.0596 c=5.0596 alpha=90.00 beta=90.00 gamma=90.00
Last column: nearest neighbours and their distance in Å.
Fractional coordinates of all 5 atoms:
Co (0.0000, 0.0000, 0.0000)  6 Bi 2.53
Tc (0.5000, 0.5000, 0.5000)  12 Bi 3.58
Bi (0.0000, 0.0000, 0.5000)  2 Co 2.53
Bi (0.0000, 0.5000, 0.0000)  2 Co 2.53
Bi (0.5000, 0.0000, 0.0000)  2 Co 2.53

Density of states at the Fermi level: 4.5 states/eV/cell
Space-group type: Pm-3m, No. 221
Excess energy over the best structure of this formula in the dataset: 0.000 eV/atom
Energy of formation: 968 meV per atom
Volume: 25.90 Å³ per atom

---

Record 9
Here is a relaxed structure of Na2UO4 from Alexandria. Energies are from PBE-GGA.

Unit cell a=5.8501 b=6.0076 c=11.8796 alpha=90.00 beta=90.00 gamma=90.00
Last column: nearest neighbours and their distance in Å.
Fractional coordinates of all 28 atoms:
Na (0.0007, 0.0525, 0.1635)  4 O 2.32-2.55
Na (0.0007, 0.4475, 0.6635)  4 O 2.32-2.55
Na (0.4993, 0.5525, 0.1635)  4 O 2.32-2.55
Na (0.4993, 0.9475, 0.6635)  4 O 2.32-2.55
Na (0.5007, 0.0525, 0.3365)  4 O 2.32-2.55
Na (0.5007, 0.4475, 0.8365)  4 O 2.32-2.55
Na (0.9993, 0.5525, 0.3365)  4 O 2.32-2.55
Na (0.9993, 0.9475, 0.8365)  4 O 2.32-2.55
U (0.0000, 0.0000, 0.5000)  2 O 1.94
U (0.0000, 0.5000, 0.0000)  2 O 1.94
U (0.5000, 0.0000, 0.0000)  2 O 1.94
U (0.5000, 0.5000, 0.5000)  2 O 1.94
O (0.1054, 0.0361, 0.6539)  1 U 1.94
O (0.1054, 0.4639, 0.1539)  1 U 1.94
O (0.2032, 0.2077, 0.9559)  2 U 2.18-2.20, 1 Na 2.42
O (0.2032, 0.2923, 0.4559)  2 U 2.18-2.20, 1 Na 2.42
O (0.2968, 0.7077, 0.9559)  2 U 2.18-2.20, 1 Na 2.42
O (0.2968, 0.7923, 0.4559)  2 U 2.18-2.20, 1 Na 2.42
O (0.3946, 0.5361, 0.6539)  1 U 1.94
O (0.3946, 0.9639, 0.1539)  1 U 1.94
O (0.6054, 0.0361, 0.8461)  1 U 1.94
O (0.6054, 0.4639, 0.3461)  1 U 1.94
O (0.7032, 0.2077, 0.5441)  2 U 2.18-2.20, 1 Na 2.42
O (0.7032, 0.2923, 0.0441)  2 U 2.18-2.20, 1 Na 2.42
O (0.7968, 0.7077, 0.5441)  2 U 2.18-2.20, 1 Na 2.42
O (0.7968, 0.7923, 0.0441)  2 U 2.18-2.20, 1 Na 2.42
O (0.8946, 0.5361, 0.8461)  1 U 1.94
O (0.8946, 0.9639, 0.3461)  1 U 1.94

Raw formation energy: -2.6196 eV per atom
Density of states at the Fermi level: 0.0 states/eV/cell
Space-group type: Pbca, No. 61
Volume: 14.91 Å³ per atom

---

Record 10
Here is a relaxed structure of ZrSN2Cl from Alexandria. Energies are from PBE-GGA.

Unit cell a=4.2160 b=4.2160 c=5.4116 alpha=90.00 beta=90.00 gamma=90.00
Last column: nearest neighbours and their distance in Å.
Fractional coordinates of all 5 atoms:
Zr (0.0000, 0.0000, 0.0000)  4 N 2.11
S (0.0000, 0.0000, 0.5000)  2 Zr 2.71, 4 Cl 2.98
N (0.0000, 0.5000, 0.0000)  2 Zr 2.11
N (0.5000, 0.0000, 0.0000)  2 Zr 2.11
Cl (0.5000, 0.5000, 0.5000)  4 S 2.98

Raw formation energy: 0.6589 eV per atom
Density of states at the Fermi level: 3.7 states/eV/cell
Space-group type: P4/mmm, No. 123
Excess energy over the best structure of this formula in the dataset: 0.000 eV/atom
Volume: 19.24 Å³ per atom